First-principles (PBE) data for Sm12GaCu6 after structural relaxation, as listed in the Alexandria database.

Properties
electronic total energy: -4.571 eV/atom
formation energy: -0.14 eV per atom

a = 10.025 Å, b = 10.025 Å, c = 10.025 Å
α = 90.00°, β = 90.00°, γ = 90.00°
Space group Im-3 (No. 204)
Symmetry-distinct sites (fractional):
Sm 0.000 0.296 0.188 x24
Ga 0.000 0.000 0.000 x2
Cu 0.000 0.123 0.500 x12


First-principles (PBE) data for Sm3Ga2Cu3 after structural relaxation, as listed in the Alexandria database.

Properties
relative energy among the computed polymorphs: 0 meV per atom
electronic total energy: -4.456 eV/atom
formation energy: -0.39 eV per atom

a = 4.381 Å, b = 10.506 Å, c = 14.548 Å
α = 90.00°, β = 90.00°, γ = 90.00°
Space group Cmcm (No. 63)
Symmetry-distinct sites (fractional):
Sm 0.000 0.100 0.102 x8
Sm 0.000 0.398 0.250 x4
Ga 0.000 0.197 0.600 x8
Cu 0.000 0.315 0.750 x4
Cu 0.000 0.390 0.041 x8